Record 1
An optimized crystal structure of Si2Au2O5. Source: OQMD via LeMat-Bulk, functional PBE.

a = 4.1059 Å, b = 4.1059 Å, c = 6.7868 Å
α = 90.00°, β = 90.00°, γ = 90.00°
Closest atoms and distances in Å follow each position.
Fractional coordinates of all 9 atoms:
Si: 0.0000 0.0000 0.0000  8 O 2.53
Si: 0.0000 0.0000 0.5000  12 O 2.81-2.90
Au: 0.5000 0.5000 0.1945  5 O 2.06-2.07
Au: 0.5000 0.5000 0.8055  5 O 2.06-2.07
O: 0.0000 0.5000 0.2175  2 Au 2.06
O: 0.0000 0.5000 0.7825  2 Au 2.06
O: 0.5000 0.0000 0.2175  2 Au 2.06
O: 0.5000 0.0000 0.7825  2 Au 2.06
O: 0.5000 0.5000 0.5000  2 Au 2.07

The relative energy among the computed polymorphs is 1351 meV per atom.

***

Record 2
An optimized crystal structure of Si2AuO4. Source: OQMD via LeMat-Bulk, functional PBE.

a = 6.0032 Å, b = 6.0032 Å, c = 6.0032 Å
α = 60.00°, β = 60.00°, γ = 60.00°
Closest atoms and distances in Å follow each position.
Fractional coordinates of all 14 atoms:
Si: 0.0000 0.0000 0.0000  6 O 1.93
Si: 0.0000 0.0000 0.5000  6 O 1.93
Si: 0.0000 0.5000 0.0000  6 O 1.93
Si: 0.5000 0.0000 0.0000  6 O 1.93
Au: 0.3750 0.3750 0.3750  4 O 2.22
Au: 0.6250 0.6250 0.6250  4 O 2.22
O: 0.1716 0.7761 0.7761  3 Si 1.93
O: 0.2239 0.2239 0.2239  3 Si 1.93
O: 0.2239 0.2239 0.8284  3 Si 1.93
O: 0.2239 0.8284 0.2239  3 Si 1.93
O: 0.7761 0.1716 0.7761  3 Si 1.93
O: 0.7761 0.7761 0.1716  3 Si 1.93
O: 0.7761 0.7761 0.7761  3 Si 1.93
O: 0.8284 0.2239 0.2239  3 Si 1.93

The value obtained for the total energy is -6.0458 eV/atom.